Entry from Alexandria: a relaxed structure of ZrTlHg2Br (GGA-PBE).

Properties
As for the space-group type: P4/mmm. The raw total energy comes out at -1.913 eV/atom. The theoretical density comes out at 6954 kg/m³. Its formation energy from raw total energies is 0.725 eV/atom.

a = 5.6034 Å, b = 5.6034 Å, c = 5.9066 Å
α = 90.00°, β = 90.00°, γ = 90.00°
Fractional coordinates of all 5 atoms:
Zr  0.0000  0.0000  0.0000
Tl  0.5000  0.5000  0.5000
Hg  0.0000  0.5000  0.5000
Hg  0.5000  0.0000  0.5000
Br  0.5000  0.5000  0.0000



Entry from Alexandria: a relaxed structure of TmHgBr3 (GGA-PBE).

Properties
As for the space-group type: Pm-3m. The raw total energy comes out at -3.303 eV/atom. The theoretical density comes out at 5911 kg/m³. Its formation energy from raw total energies is -1.345 eV/atom.

a = 5.5521 Å, b = 5.5521 Å, c = 5.5521 Å
α = 90.00°, β = 90.00°, γ = 90.00°
Fractional coordinates of all 5 atoms:
Tm  0.0000  0.0000  0.0000
Hg  0.5000  0.5000  0.5000
Br  0.0000  0.0000  0.5000
Br  0.0000  0.5000  0.0000
Br  0.5000  0.0000  0.0000



Entry from Alexandria: a relaxed structure of TmHgBr6 (GGA-PBE).

Properties
As for the space-group type: P-1. The raw total energy comes out at -2.794 eV/atom. The theoretical density comes out at 4908 kg/m³. Its formation energy from raw total energies is -0.943 eV/atom.

a = 7.0752 Å, b = 7.0998 Å, c = 7.2528 Å
α = 61.19°, β = 65.99°, γ = 86.72°
Fractional coordinates of all 8 atoms:
Tm  0.0000  0.0000  0.0000
Hg  0.5000  0.5000  0.0000
Br  0.0481  0.1707  0.5461
Br  0.2274  0.3913  0.8126
Br  0.4075  0.8820  0.8553
Br  0.5925  0.1180  0.1447
Br  0.7726  0.6087  0.1874
Br  0.9519  0.8293  0.4539



Entry from Alexandria: a relaxed structure of TmHg2Br8 (GGA-PBE).

Properties
As for the space-group type: C2/m. The raw total energy comes out at -2.514 eV/atom. The theoretical density comes out at 4376 kg/m³. Its formation energy from raw total energies is -0.836 eV/atom.

a = 8.2703 Å, b = 8.2703 Å, c = 6.9092 Å
α = 99.63°, β = 99.63°, γ = 90.78°
Fractional coordinates of all 11 atoms:
Tm  0.0000  0.0000  0.0000
Hg  0.2185  0.2185  0.6769
Hg  0.7815  0.7815  0.3231
Br  0.0736  0.7376  0.2013
Br  0.2161  0.2161  0.2852
Br  0.2624  0.9264  0.7987
Br  0.4531  0.4531  0.7887
Br  0.5469  0.5469  0.2113
Br  0.7376  0.0736  0.2013
Br  0.7839  0.7839  0.7148
Br  0.9264  0.2624  0.7987



Entry from Alexandria: a relaxed structure of U3Hg6Br14 (GGA-PBE).

Properties
As for the space-group type: P3. The raw total energy comes out at -3.406 eV/atom. The theoretical density comes out at 5285 kg/m³. Its formation energy from raw total energies is -0.836 eV/atom.

a = 12.1024 Å, b = 12.1024 Å, c = 7.5202 Å
α = 90.00°, β = 90.00°, γ = 120.00°
Fractional coordinates of all 23 atoms:
U  0.0000  0.0000  0.0000
U  0.3333  0.6667  0.5490
U  0.6667  0.3333  0.3365
Hg  0.0367  0.5148  0.6743
Hg  0.2837  0.2007  0.1256
Hg  0.4781  0.9633  0.6743
Hg  0.4852  0.5219  0.6743
Hg  0.7993  0.0829  0.1256
Hg  0.9171  0.7163  0.1256
Br  0.0000  0.0000  0.3586
Br  0.0648  0.2144  0.8210
Br  0.1497  0.9352  0.8210
Br  0.2218  0.7756  0.3703
Br  0.2244  0.4462  0.3703
Br  0.3333  0.6667  0.9075
Br  0.4553  0.2325  0.5450
Br  0.5538  0.1209  0.1280
Br  0.5538  0.7782  0.3703
Br  0.5671  0.4462  0.1280
Br  0.7675  0.2228  0.5450
Br  0.7772  0.5447  0.5450
Br  0.7856  0.8503  0.8210
Br  0.8791  0.4329  0.1280



Entry from Alexandria: a relaxed structure of U3Hg2Br10 (GGA-PBE).

Properties
As for the space-group type: C2/m. The raw total energy comes out at -4.456 eV/atom. The theoretical density comes out at 5157 kg/m³. Its formation energy from raw total energies is -1.043 eV/atom.

a = 14.2515 Å, b = 14.2515 Å, c = 11.2698 Å
α = 110.01°, β = 110.01°, γ = 35.24°
Fractional coordinates of all 30 atoms:
U  0.2487  0.7513  0.0000
U  0.3146  0.3146  0.9664
U  0.4202  0.4202  0.5113
U  0.5798  0.5798  0.4887
U  0.6854  0.6854  0.0336
U  0.7513  0.2487  0.0000
Hg  0.1215  0.1215  0.7317
Hg  0.2312  0.2312  0.3250
Hg  0.7688  0.7688  0.6750
Hg  0.8785  0.8785  0.2683
Br  0.0000  0.5000  0.0000
Br  0.0122  0.0122  0.1789
Br  0.1307  0.6047  0.5645
Br  0.1487  0.6292  0.9531
Br  0.2656  0.2656  0.7145
Br  0.2822  0.7178  0.5000
Br  0.3701  0.3701  0.2428
Br  0.3708  0.8513  0.0469
Br  0.3953  0.8693  0.4355
Br  0.4867  0.4867  0.8106
Br  0.5000  0.0000  0.0000
Br  0.5133  0.5133  0.1894
Br  0.6047  0.1307  0.5645
Br  0.6292  0.1487  0.9531
Br  0.6299  0.6299  0.7572
Br  0.7178  0.2822  0.5000
Br  0.7344  0.7344  0.2855
Br  0.8513  0.3708  0.0469
Br  0.8693  0.3953  0.4355
Br  0.9878  0.9878  0.8211



Entry from Alexandria: a relaxed structure of UHg2Br5 (GGA-PBE).

Properties
As for the space-group type: C2/c. The raw total energy comes out at -3.401 eV/atom. The theoretical density comes out at 5134 kg/m³. The value obtained for the energy above the most stable polymorph in this dataset is 0.0 meV per atom. Its formation energy from raw total energies is -0.869 eV/atom.

a = 10.4684 Å, b = 10.4684 Å, c = 10.4605 Å
α = 118.95°, β = 118.95°, γ = 43.37°
Fractional coordinates of all 16 atoms:
U  0.0000  0.0000  0.0000
U  0.0000  0.0000  0.5000
Hg  0.2321  0.3540  0.5186
Hg  0.3540  0.2321  0.0186
Hg  0.6460  0.7679  0.9814
Hg  0.7679  0.6460  0.4814
Br  0.0184  0.7032  0.9098
Br  0.1534  0.8466  0.7500
Br  0.1989  0.6437  0.3434
Br  0.2968  0.9816  0.5902
Br  0.3563  0.8011  0.1566
Br  0.6437  0.1989  0.8434
Br  0.7032  0.0184  0.4098
Br  0.8011  0.3563  0.6566
Br  0.8466  0.1534  0.2500
Br  0.9816  0.2968  0.0902



Entry from Alexandria: a relaxed structure of UHg2Br8 (GGA-PBE).

Properties
As for the space-group type: C2/m. The raw total energy comes out at -3.090 eV/atom. The theoretical density comes out at 4288 kg/m³. The value obtained for the energy above the most stable polymorph in this dataset is 0.0 meV per atom. Its formation energy from raw total energies is -0.792 eV/atom.

a = 7.6383 Å, b = 7.6383 Å, c = 10.4870 Å
α = 108.19°, β = 108.19°, γ = 60.18°
Fractional coordinates of all 11 atoms:
U  0.0000  0.0000  0.0000
Hg  0.1665  0.1665  0.3577
Hg  0.8335  0.8335  0.6423
Br  0.0421  0.0421  0.7423
Br  0.0936  0.5972  0.8823
Br  0.3533  0.3533  0.5240
Br  0.4028  0.9064  0.1177
Br  0.5972  0.0936  0.8823
Br  0.6467  0.6467  0.4760
Br  0.9064  0.4028  0.1177
Br  0.9579  0.9579  0.2577



Entry from Alexandria: a relaxed structure of UHgBr5 (GGA-PBE).

Properties
As for the space-group type: C2/c. The raw total energy comes out at -3.859 eV/atom. The theoretical density comes out at 4149 kg/m³. Its formation energy from raw total energies is -1.009 eV/atom.

a = 8.5267 Å, b = 8.5267 Å, c = 10.4183 Å
α = 108.73°, β = 108.73°, γ = 75.87°
Fractional coordinates of all 14 atoms:
U  0.0000  0.0000  0.0000
U  0.0000  0.0000  0.5000
Hg  0.4864  0.5136  0.7500
Hg  0.5136  0.4864  0.2500
Br  0.0857  0.2982  0.6437
Br  0.1118  0.6929  0.0304
Br  0.1135  0.8865  0.7500
Br  0.2982  0.0857  0.1437
Br  0.3071  0.8882  0.4696
Br  0.6929  0.1118  0.5304
Br  0.7018  0.9143  0.8563
Br  0.8865  0.1135  0.2500
Br  0.8882  0.3071  0.9696
Br  0.9143  0.7018  0.3563



Entry from Alexandria: a relaxed structure of UHg2Br5 (GGA-PBE).

Properties
As for the space-group type: Cm. The raw total energy comes out at -3.332 eV/atom. The theoretical density comes out at 4254 kg/m³. The value obtained for the energy above the most stable polymorph in this dataset is 70.0 meV per atom. Its formation energy from raw total energies is -0.799 eV/atom.

a = 8.3729 Å, b = 8.3729 Å, c = 8.1780 Å
α = 119.16°, β = 119.16°, γ = 58.48°
Fractional coordinates of all 8 atoms:
U  0.0000  0.0000  0.0000
Hg  0.2577  0.2577  0.7566
Hg  0.7577  0.7577  0.2575
Br  0.2537  0.7986  0.2536
Br  0.2542  0.7993  0.7992
Br  0.7839  0.7839  0.7838
Br  0.7986  0.2537  0.2536
Br  0.7993  0.2542  0.7992



Entry from Alexandria: a relaxed structure of UHg2Br8 (GGA-PBE).

Properties
As for the space-group type: C2/m. The raw total energy comes out at -3.082 eV/atom. The theoretical density comes out at 4647 kg/m³. The value obtained for the energy above the most stable polymorph in this dataset is 7.3 meV per atom. Its formation energy from raw total energies is -0.785 eV/atom.

a = 8.4214 Å, b = 8.4214 Å, c = 6.8282 Å
α = 94.20°, β = 94.20°, γ = 71.31°
Fractional coordinates of all 11 atoms:
U  0.0000  0.0000  0.0000
Hg  0.2213  0.2213  0.7315
Hg  0.7787  0.7787  0.2685
Br  0.1127  0.7122  0.2282
Br  0.1672  0.1672  0.2512
Br  0.2878  0.8873  0.7718
Br  0.3998  0.3998  0.7047
Br  0.6002  0.6002  0.2953
Br  0.7122  0.1127  0.2282
Br  0.8328  0.8328  0.7488
Br  0.8873  0.2878  0.7718



Entry from Alexandria: a relaxed structure of V2HgBr6 (GGA-PBE).

Properties
As for the space-group type: C2/c. The raw total energy comes out at -3.813 eV/atom. The theoretical density comes out at 3556 kg/m³. Its formation energy from raw total energies is -0.637 eV/atom.

a = 11.1054 Å, b = 11.1054 Å, c = 6.5894 Å
α = 105.24°, β = 105.24°, γ = 71.78°
Fractional coordinates of all 18 atoms:
V  0.0758  0.2617  0.2576
V  0.2617  0.0758  0.7576
V  0.7383  0.9242  0.2424
V  0.9242  0.7383  0.7424
Hg  0.4975  0.5025  0.7500
Hg  0.5025  0.4975  0.2500
Br  0.0564  0.2059  0.5843
Br  0.1348  0.6851  0.9380
Br  0.1816  0.4238  0.3370
Br  0.2059  0.0564  0.0843
Br  0.3149  0.8652  0.5620
Br  0.4238  0.1816  0.8370
Br  0.5762  0.8184  0.1630
Br  0.6851  0.1348  0.4380
Br  0.7941  0.9436  0.9157
Br  0.8184  0.5762  0.6630
Br  0.8652  0.3149  0.0620
Br  0.9436  0.7941  0.4157



Entry from Alexandria: a relaxed structure of VHgBr2 (GGA-PBE).

Properties
As for the space-group type: R-3m. The raw total energy comes out at -3.774 eV/atom. The theoretical density comes out at 4921 kg/m³. The value obtained for the energy above the most stable polymorph in this dataset is 0.0 meV per atom. Its formation energy from raw total energies is -0.582 eV/atom.

a = 11.2432 Å, b = 11.2432 Å, c = 11.2432 Å
α = 19.52°, β = 19.52°, γ = 19.52°
Fractional coordinates of all 4 atoms:
V  0.0000  0.0000  0.0000
Hg  0.5000  0.5000  0.5000
Br  0.3773  0.3773  0.3773
Br  0.6227  0.6227  0.6227



Entry from Alexandria: a relaxed structure of VHgBr2 (GGA-PBE).

Properties
As for the space-group type: I-42d. The raw total energy comes out at -3.531 eV/atom. The theoretical density comes out at 4938 kg/m³. The value obtained for the energy above the most stable polymorph in this dataset is 243.0 meV per atom. Its formation energy from raw total energies is -0.339 eV/atom.

a = 7.1097 Å, b = 7.1097 Å, c = 7.1097 Å
α = 109.71°, β = 109.71°, γ = 109.00°
Fractional coordinates of all 8 atoms:
V  0.0000  0.0000  0.0000
V  0.7500  0.2500  0.5000
Hg  0.2500  0.7500  0.5000
Hg  0.5000  0.5000  0.0000
Br  0.9997  0.1250  0.3747
Br  0.3750  0.0003  0.1253
Br  0.7503  0.6250  0.6253
Br  0.8750  0.2497  0.8747



Entry from Alexandria: a relaxed structure of V4HgBr8 (GGA-PBE).

Properties
As for the space-group type: Cm. The raw total energy comes out at -4.554 eV/atom. The theoretical density comes out at 4921 kg/m³. Its formation energy from raw total energies is -0.696 eV/atom.

a = 9.5360 Å, b = 9.5360 Å, c = 12.9130 Å
α = 130.12°, β = 130.12°, γ = 23.47°
Fractional coordinates of all 13 atoms:
V  0.0000  0.0000  0.0000
V  0.3282  0.3282  0.6516
V  0.5165  0.5165  0.3541
V  0.8116  0.8116  0.2969
Hg  0.6636  0.6636  0.8250
Br  0.0318  0.0318  0.2329
Br  0.2970  0.2970  0.4190
Br  0.3286  0.3286  0.1741
Br  0.3734  0.3734  0.8951
Br  0.6236  0.6236  0.0851
Br  0.7046  0.7046  0.5663
Br  0.9548  0.9548  0.7565
Br  0.9994  0.9994  0.4767



Entry from Alexandria: a relaxed structure of V3HgBr (GGA-PBE).

Properties
As for the space-group type: Pm-3m. The raw total energy comes out at -4.887 eV/atom. The theoretical density comes out at 7767 kg/m³. The value obtained for the energy above the most stable polymorph in this dataset is 0.0 meV per atom. Its formation energy from raw total energies is 0.980 eV/atom.

a = 4.5247 Å, b = 4.5247 Å, c = 4.5247 Å
α = 90.00°, β = 90.00°, γ = 90.00°
Fractional coordinates of all 5 atoms:
V  0.0000  0.0000  0.5000
V  0.0000  0.5000  0.0000
V  0.5000  0.0000  0.0000
Hg  0.5000  0.5000  0.5000
Br  0.0000  0.0000  0.0000



Entry from Alexandria: a relaxed structure of VHgBr2 (GGA-PBE).

Properties
As for the space-group type: P6_3/mmc. The raw total energy comes out at -3.773 eV/atom. The theoretical density comes out at 4977 kg/m³. The value obtained for the energy above the most stable polymorph in this dataset is 1.0 meV per atom. Its formation energy from raw total energies is -0.581 eV/atom.

a = 3.8117 Å, b = 3.8117 Å, c = 21.8129 Å
α = 90.00°, β = 90.00°, γ = 120.00°
Fractional coordinates of all 8 atoms:
V  0.0000  0.0000  0.0000
V  0.0000  0.0000  0.5000
Hg  0.3333  0.6667  0.2500
Hg  0.6667  0.3333  0.7500
Br  0.3333  0.6667  0.0668
Br  0.3333  0.6667  0.4332
Br  0.6667  0.3333  0.5668
Br  0.6667  0.3333  0.9332



Entry from Alexandria: a relaxed structure of V2HgBr (GGA-PBE).

Properties
As for the space-group type: I-42d. The raw total energy comes out at -4.343 eV/atom. The theoretical density comes out at 7327 kg/m³. The value obtained for the energy above the most stable polymorph in this dataset is 0.0 meV per atom. Its formation energy from raw total energies is 0.710 eV/atom.

a = 6.0962 Å, b = 6.0962 Å, c = 6.0962 Å
α = 106.93°, β = 106.93°, γ = 114.67°
Fractional coordinates of all 8 atoms:
V  0.0952  0.6250  0.9702
V  0.3750  0.3452  0.4702
V  0.6548  0.1250  0.0298
V  0.8750  0.9048  0.5298
Hg  0.2500  0.7500  0.5000
Hg  0.5000  0.5000  0.0000
Br  0.0000  0.0000  0.0000
Br  0.7500  0.2500  0.5000



Entry from Alexandria: a relaxed structure of V3HgBr (GGA-PBE).

Properties
As for the space-group type: Pm-3m. The raw total energy comes out at -4.354 eV/atom. The theoretical density comes out at 5283 kg/m³. The value obtained for the energy above the most stable polymorph in this dataset is 532.4 meV per atom. Its formation energy from raw total energies is 1.512 eV/atom.

a = 5.1451 Å, b = 5.1451 Å, c = 5.1451 Å
α = 90.00°, β = 90.00°, γ = 90.00°
Fractional coordinates of all 5 atoms:
V  0.0000  0.0000  0.5000
V  0.0000  0.5000  0.0000
V  0.5000  0.0000  0.0000
Hg  0.0000  0.0000  0.0000
Br  0.5000  0.5000  0.5000



Entry from Alexandria: a relaxed structure of V2HgBr (GGA-PBE).

Properties
As for the space-group type: Fm-3m. The raw total energy comes out at -4.305 eV/atom. The theoretical density comes out at 9329 kg/m³. The value obtained for the energy above the most stable polymorph in this dataset is 38.4 meV per atom. Its formation energy from raw total energies is 0.748 eV/atom.

a = 4.5829 Å, b = 4.5829 Å, c = 4.5829 Å
α = 60.00°, β = 60.00°, γ = 60.00°
Fractional coordinates of all 4 atoms:
V  0.2500  0.2500  0.2500
V  0.7500  0.7500  0.7500
Hg  0.0000  0.0000  0.0000
Br  0.5000  0.5000  0.5000